Below is SiBiSe3 after structural relaxation, with properties calculated at the PBE level.

a b c (Å): 5.4530 5.4530 5.4530
angles (deg): 90.00 90.00 90.00
Closest atoms and distances in Å follow each position.
Space group Pm-3m (No. 221)
Asymmetric unit:
Si1 0.0000 0.0000 0.0000 x1  12 Se 3.86
Bi1 0.5000 0.5000 0.5000 x1  6 Se 2.73
Se1 0.0000 0.5000 0.5000 x3  2 Bi 2.73

Values from the calculation:
* mass density: 4.854 g/cm³
* offset from the most stable computed form: 0.936 eV/atom
* DOS at the Fermi energy: 0.74 states/eV/atom
* uncorrected energy: -3.139 eV/atom